A plane-wave DFT calculation with PBE was carried out for crystalline Dy5Ga2Bi at its relaxed geometry.

abc: 8.655 8.655 8.655
angles: 123.60 123.60 83.87
Fractional coordinates of all 16 atoms:
Ga  0.351  0.149  0.500
Dy  0.500  0.500  0.000
Bi  0.750  0.750  0.000
Dy  0.293  0.489  0.500
Dy  0.511  0.011  0.805
Dy  0.489  0.989  0.195
Dy  0.207  0.707  0.195
Dy  0.989  0.793  0.500
Bi  0.250  0.250  0.000
Dy  0.793  0.293  0.805
Dy  0.011  0.207  0.500
Dy  0.000  0.000  0.000
Ga  0.649  0.851  0.500
Ga  0.149  0.649  0.798
Dy  0.707  0.511  0.500
Ga  0.851  0.351  0.202

Computed properties:
DFT total energy	-0.347	Ry/atom
crystal system	tetragonal
SG	I4/mcm, No. 140



A plane-wave DFT calculation with PBE was carried out for crystalline Gd2DyBi3 at its relaxed geometry.

abc: 4.486 4.486 10.982
angles: 90.00 90.00 120.00
Fractional coordinates of all 6 atoms:
Gd  0.667  0.333  0.167
Bi  0.333  0.667  0.335
Bi  0.667  0.333  0.665
Dy  0.000  0.000  0.500
Gd  0.333  0.667  0.833
Bi  0.000  0.000  0.000

Computed properties:
DFT total energy	-0.385	Ry/atom
crystal system	trigonal
SG	P-3m1, No. 164



A plane-wave DFT calculation with PBE was carried out for crystalline GdDy2Bi3 at its relaxed geometry.

abc: 4.470 4.470 10.971
angles: 90.00 90.00 120.00
Fractional coordinates of all 6 atoms:
Dy  0.333  0.667  0.834
Bi  0.667  0.333  0.668
Dy  0.667  0.333  0.166
Gd  0.000  0.000  0.500
Bi  0.333  0.667  0.332
Bi  0.000  0.000  0.000

Computed properties:
DFT total energy	-0.384	Ry/atom
crystal system	trigonal
SG	P-3m1, No. 164



A plane-wave DFT calculation with PBE was carried out for crystalline GdDyBi at its relaxed geometry.

abc: 5.212 5.212 5.212
angles: 60.00 60.00 60.00
Fractional coordinates of all 3 atoms:
Dy  0.250  0.250  0.250
Bi  0.000  0.000  0.000
Gd  0.750  0.750  0.750

Computed properties:
DFT total energy	-0.350	Ry/atom
crystal system	cubic
SG	F-43m, No. 216



A plane-wave DFT calculation with PBE was carried out for crystalline GdDyBiI2 at its relaxed geometry.

abc: 4.398 4.398 11.315
angles: 90.00 90.00 120.00
Fractional coordinates of all 5 atoms:
Bi  0.333  0.667  0.002
Gd  0.667  0.333  0.846
I  0.000  0.000  0.675
I  0.667  0.333  0.323
Dy  0.000  0.000  0.154

Computed properties:
DFT total energy	-0.325	Ry/atom
crystal system	trigonal
SG	P3m1, No. 156



A plane-wave DFT calculation with PBE was carried out for crystalline GdDyBi2Se2 at its relaxed geometry.

abc: 4.279 4.279 8.967
angles: 90.00 90.00 90.00
Fractional coordinates of all 6 atoms:
Dy  0.000  0.000  0.305
Gd  0.500  0.500  0.696
Bi  0.000  0.500  0.001
Se  0.500  0.500  0.372
Se  0.000  0.000  0.625
Bi  0.500  0.000  0.001

Computed properties:
DFT total energy	-0.386	Ry/atom
crystal system	tetragonal
SG	P4mm, No. 99



A plane-wave DFT calculation with PBE was carried out for crystalline GdDyBi2Te2 at its relaxed geometry.

abc: 4.404 4.404 9.354
angles: 90.00 90.00 90.00
Fractional coordinates of all 6 atoms:
Bi  0.500  0.000  0.000
Te  0.000  0.000  0.625
Bi  0.000  0.500  0.000
Gd  0.500  0.500  0.716
Dy  0.000  0.000  0.285
Te  0.500  0.500  0.374

Computed properties:
DFT total energy	-0.364	Ry/atom
crystal system	tetragonal
SG	P4mm, No. 99



A plane-wave DFT calculation with PBE was carried out for crystalline GdDyZr2Bi2 at its relaxed geometry.

abc: 9.017 9.017 9.017
angles: 152.18 152.18 39.74
Fractional coordinates of all 6 atoms:
Gd  0.323  0.323  0.000
Zr  0.000  0.500  0.500
Zr  0.500  0.000  0.500
Bi  0.866  0.866  0.000
Dy  0.676  0.676  0.000
Bi  0.134  0.134  0.000

Computed properties:
DFT total energy	-0.463	Ry/atom
crystal system	tetragonal
SG	I4mm, No. 107



A plane-wave DFT calculation with PBE was carried out for crystalline Dy3Ho2Bi3 at its relaxed geometry.

abc: 9.144 9.144 6.355
angles: 90.00 90.00 120.00
Fractional coordinates of all 16 atoms:
Ho  0.667  0.333  0.500
Dy  0.756  0.756  0.250
Dy  0.000  0.756  0.750
Dy  0.244  0.000  0.250
Bi  0.610  0.000  0.250
Bi  0.610  0.610  0.750
Bi  0.390  0.000  0.750
Ho  0.667  0.333  0.000
Dy  0.756  0.000  0.750
Ho  0.333  0.667  0.500
Bi  0.000  0.610  0.250
Bi  0.000  0.390  0.750
Bi  0.390  0.390  0.250
Ho  0.333  0.667  0.000
Dy  0.000  0.244  0.250
Dy  0.244  0.244  0.750

Computed properties:
DFT total energy	-0.374	Ry/atom
crystal system	hexagonal
SG	P6_3/mcm, No. 193



A plane-wave DFT calculation with PBE was carried out for crystalline DyHoBi at its relaxed geometry.

abc: 5.150 5.150 5.150
angles: 60.00 60.00 60.00
Fractional coordinates of all 3 atoms:
Bi  0.000  0.000  0.000
Ho  0.750  0.750  0.750
Dy  0.250  0.250  0.250

Computed properties:
DFT total energy	-0.344	Ry/atom
crystal system	cubic
SG	F-43m, No. 216



A plane-wave DFT calculation with PBE was carried out for crystalline DyHo2Bi3 at its relaxed geometry.

abc: 4.449 4.449 10.934
angles: 90.00 90.00 120.00
Fractional coordinates of all 6 atoms:
Dy  0.000  0.000  0.500
Ho  0.333  0.667  0.833
Ho  0.667  0.333  0.167
Bi  0.000  0.000  0.000
Bi  0.333  0.667  0.333
Bi  0.667  0.333  0.667

Computed properties:
DFT total energy	-0.381	Ry/atom
crystal system	trigonal
SG	P-3m1, No. 164



A plane-wave DFT calculation with PBE was carried out for crystalline Dy4HoBi5 at its relaxed geometry.

abc: 16.079 16.079 16.079
angles: 164.06 164.06 22.62
Fractional coordinates of all 10 atoms:
Dy  0.600  0.600  0.000
Bi  0.300  0.300  0.000
Bi  0.500  0.500  0.000
Dy  0.800  0.800  0.000
Bi  0.900  0.900  0.000
Dy  0.200  0.200  0.000
Ho  0.000  0.000  0.000
Bi  0.100  0.100  0.000
Dy  0.400  0.400  0.000
Bi  0.700  0.700  0.000

Computed properties:
DFT total energy	-0.382	Ry/atom
crystal system	tetragonal
SG	I4/mmm, No. 139